DFT (GGA-PBE) results for a relaxed structure of KRbZrGa2.

Calculated values
For the total energy, the calculation gives -2.890 eV/atom.

Cell lengths 5.4239, 6.3398, 5.4239 Å; angles 90.00, 90.00, 90.00 degrees
Closest atoms and distances in Å follow each position.
Fractional coordinates of all 5 atoms:
1 Ga 0.5000 0.0000 0.0000  2 Zr 2.71
2 Zr 0.0000 0.0000 0.0000  4 Ga 2.71
3 Rb 0.5000 0.5000 0.5000  4 K 3.84, 8 Ga 4.17
4 K 0.0000 0.5000 0.0000  2 Zr 3.17
5 Ga 0.0000 0.0000 0.5000  2 Zr 2.71